{
  "formula": "BaMn5",
  "functional": "PBE",
  "state": "optimized geometry",
  "lattice_angstrom": [[1.965, -3.403, 0.000], [1.965, 3.403, 0.000], [0.000, 0.000, 7.788]],
  "species": ["Ba", "Mn", "Mn", "Mn", "Mn", "Mn"],
  "frac_coords": [[0.000, 0.000, 0.000], [0.667, 0.333, 0.349], [0.333, 0.667, 0.651], [0.333, 0.667, 0.349], [0.000, 0.000, 0.500], [0.667, 0.333, 0.651]],
  "spacegroup": "P6/mmm (191)"
}

{
  "formula": "AcSm2DyHo4",
  "functional": "PBE",
  "state": "optimized geometry",
  "lattice_angstrom": [[-4.162, -2.795, 1.115], [0.969, -3.036, -3.994], [6.588, -9.041, 1.928]],
  "species": ["Ac", "Sm", "Sm", "Dy", "Ho", "Ho", "Ho", "Ho"],
  "frac_coords": [[0.500, 0.500, 0.000], [0.000, 0.000, 0.000], [0.500, 0.000, 0.500], [0.000, 0.500, 0.500], [0.000, 0.758, 0.742], [0.000, 0.242, 0.258], [0.500, 0.742, 0.258], [0.500, 0.258, 0.742]],
  "spacegroup": "Pmmm (47)"
}

Number 1: formation energy 461 meV/atom. Number 2: formation energy 39 meV/atom.